# 1
Density functional theory data (PBE) for a relaxed structure of Fe2ReH.

Output
Calculated total energy in eV per atom: -7.499

Structure (POSCAR):
```
Fe2ReH
1.0
0.000 2.772 2.772
2.772 0.000 2.772
2.772 2.772 0.000
Re Fe H
1 2 1
Direct
0.500 0.500 0.500
0.750 0.750 0.750
0.250 0.250 0.250
0.000 0.000 0.000
```

***

# 2
Density functional theory data (PBE) for a relaxed structure of Tb2Co12P7.

Output
Calculated total energy in eV per atom: -7.101

Structure (POSCAR):
```
Tb2Co12P7
1.0
-1.487 8.643 -2.081
-2.392 -3.162 8.094
3.236 0.869 1.296
Co Tb P
12 2 7
Direct
0.292 0.899 0.000
0.900 0.436 0.500
0.607 0.708 0.000
0.719 0.951 0.500
0.820 0.606 0.000
0.101 0.393 0.000
0.049 0.768 0.500
0.564 0.464 0.500
0.786 0.180 0.000
0.232 0.281 0.500
0.536 0.100 0.500
0.394 0.214 0.000
0.333 0.667 0.500
0.000 0.000 0.000
0.667 0.333 0.000
0.555 0.928 0.000
0.958 0.223 0.500
0.777 0.735 0.500
0.373 0.445 0.000
0.072 0.627 0.000
0.265 0.042 0.500
```

***

# 3
Density functional theory data (PBE) for a relaxed structure of La2GaRhO6.

Output
Calculated total energy in eV per atom: -7.269
Energy relative to the elements, uncorrected in eV/atom: -2.270

Structure (POSCAR):
```
La2GaRhO6
1.0
5.556 0.000 0.000
0.000 5.658 0.000
0.000 0.000 7.886
O Rh La Ga
12 2 4 2
Direct
0.500 0.223 0.255
0.745 0.518 0.000
0.000 0.777 0.245
0.250 0.005 0.500
0.250 0.995 0.000
0.500 0.223 0.745
0.750 0.005 0.500
0.750 0.995 0.000
0.245 0.482 0.500
0.755 0.482 0.500
0.000 0.777 0.755
0.255 0.518 0.000
0.000 0.747 0.500
0.500 0.253 0.000
0.500 0.767 0.242
0.500 0.767 0.758
0.000 0.233 0.742
0.000 0.233 0.258
0.000 0.746 0.000
0.500 0.254 0.500
```

***

# 4
Density functional theory data (PBE) for a relaxed structure of Pm6ZnGa5.

Output
Calculated total energy in eV per atom: -4.275

Structure (POSCAR):
```
Pm6ZnGa5
1.0
4.930 -0.029 1.643
0.039 7.331 0.013
0.001 -0.015 8.214
Pm Zn Ga
6 1 5
Direct
0.833 0.249 0.334
0.500 0.249 0.000
0.167 0.249 0.666
0.833 0.751 0.334
0.167 0.751 0.666
0.500 0.751 0.000
0.000 0.000 0.000
0.337 0.000 0.327
0.333 0.500 0.333
0.663 0.000 0.673
0.000 0.500 0.000
0.667 0.500 0.667
```

***

# 5
Density functional theory data (PBE) for a relaxed structure of Ca2Ga2O5.

Output
Calculated total energy in eV per atom: -6.156
Energy relative to the elements, uncorrected in eV/atom: -2.284

Structure (POSCAR):
```
Ca2Ga2O5
1.0
-2.873 2.594 -0.728
-2.242 -5.148 1.156
1.244 2.757 4.915
O Ca Ga
5 2 2
Direct
0.851 0.703 0.452
0.662 0.324 0.931
0.149 0.297 0.548
0.000 0.000 0.000
0.338 0.676 0.069
0.616 0.232 0.315
0.384 0.768 0.685
0.857 0.715 0.136
0.143 0.285 0.864
```

***

# 6
Density functional theory data (PBE) for a relaxed structure of TbGe2Ru2.

Output
Calculated total energy in eV per atom: -7.142

Structure (POSCAR):
```
TbGe2Ru2
1.0
-1.489 5.256 -1.937
-3.868 2.982 3.121
4.920 -2.893 1.013
Ru Ge Tb
2 2 1
Direct
0.250 0.750 0.500
0.750 0.250 0.500
0.370 0.370 0.000
0.630 0.630 0.000
0.000 0.000 0.000
```